No. 1
Material: CsBiH
Method: DFT, PBE-GGA
State: optimized geometry

## Properties
- Crystal system: tetragonal
- Energy relative to the lowest polymorph listed for this composition: 227.5 meV per atom
- Density: 5.52 Mg/m³
- SG: P4/nmm
- Magnetization: 0.294 μB/f.u.

```
CsBiH
1.0
4.2216 0.4303 0.0003
-0.4262 4.2244 0.0003
0.0002 0.0000 11.4542
Bi Cs H
2 2 2
Direct
0.8726 0.6103 0.4990 Bi
0.3726 0.1103 0.3883 Bi
0.8727 0.6103 0.1106 Cs
0.3726 0.1102 0.7768 Cs
0.8725 0.1104 0.9437 H
0.3727 0.6102 0.9437 H
```

=====

No. 2
Material: Cs7BiH2I2
Method: DFT, PBE-GGA
State: optimized geometry

## Properties
- Crystal system: orthorhombic
- Density: 3.44 Mg/m³
- SG: Imm2
- Magnetization: 0.000 μB/f.u.

```
Cs7BiH2I2
1.0
6.4774 0.0000 0.0000
0.0000 7.3205 0.0000
-3.2387 -3.6603 14.2189
Cs H I Bi
7 2 2 1
Direct
0.0855 0.6178 0.1709 Cs
0.5861 0.0510 0.1722 Cs
0.5000 0.4091 0.0000 Cs
0.9145 0.4469 0.8291 Cs
0.2923 0.2811 0.5846 Cs
0.4139 0.8789 0.8278 Cs
0.7077 0.6966 0.4154 Cs
0.6015 0.6423 0.2030 H
0.3985 0.4394 0.7970 H
0.2755 0.7647 0.5509 I
0.7245 0.2137 0.4491 I
0.0000 0.0582 0.0000 Bi
```

=====

No. 3
Material: CsInBiH
Method: DFT, PBE-GGA
State: optimized geometry

## Properties
- Crystal system: trigonal
- Density: 5.51 Mg/m³
- SG: P3m1
- Magnetization: 0.000 μB/f.u.

```
CsInBiH
1.0
-2.8497 0.1447 -3.9138
2.9982 -3.7438 0.6757
-4.8621 -3.2756 3.4193
In H Cs Bi
1 1 1 1
Direct
0.2386 0.4771 0.9252 In
0.2386 0.4772 0.1979 H
0.5720 0.1439 0.3436 Cs
0.9052 0.8104 0.7725 Bi
```

=====

No. 4
Material: Cs2InBiH
Method: DFT, PBE-GGA
State: optimized geometry

## Properties
- Crystal system: monoclinic
- Density: 4.23 Mg/m³
- SG: P2_1/m
- Magnetization: 0.000 μB/f.u.

```
Cs2InBiH
1.0
5.7462 0.0000 0.0000
0.0000 6.9715 -1.2313
0.0000 -4.5390 12.3790
Cs Bi H In
4 2 2 2
Direct
0.2500 0.1935 0.4422 Cs
0.2500 0.1869 0.9428 Cs
0.7500 0.8065 0.5578 Cs
0.7500 0.8131 0.0572 Cs
0.7500 0.4534 0.7136 Bi
0.2500 0.5466 0.2864 Bi
0.2500 0.7340 0.9534 H
0.7500 0.2660 0.0466 H
0.7500 0.4599 0.2152 In
0.2500 0.5401 0.7848 In
```

=====

No. 5
Material: Cs2NaBiH
Method: DFT, PBE-GGA
State: optimized geometry

## Properties
- Crystal system: tetragonal
- Density: 4.25 Mg/m³
- SG: P4/mmm
- Magnetization: 0.000 μB/f.u.

```
Cs2NaBiH
1.0
6.6523 0.0000 0.0000
0.0000 6.6523 0.0000
0.0000 0.0000 4.3993
Bi Cs H Na
1 2 1 1
Direct
0.5000 0.5000 0.5000 Bi
0.0000 0.5000 0.0000 Cs
0.5000 0.0000 0.0000 Cs
0.0000 0.0000 0.0000 H
0.0000 0.0000 0.5000 Na
```

=====

No. 6
Material: CsNa2BiH
Method: DFT, PBE-GGA
State: optimized geometry

## Properties
- Crystal system: tetragonal
- Density: 3.48 Mg/m³
- SG: P4mm
- Magnetization: 0.000 μB/f.u.

```
CsNa2BiH
1.0
-2.7997 -1.0144 3.6269
3.7419 -0.2366 2.8223
-0.7658 8.2061 1.7039
H Cs Bi Na
1 1 1 2
Direct
0.0000 0.0000 0.0448 H
0.0000 0.0000 0.4242 Cs
0.5000 0.5000 0.6708 Bi
0.5000 0.0000 0.9301 Na
0.0000 0.5000 0.9301 Na
```

=====

Number 1: energy -2.58 eV/atom. Number 2: energy -2.28 eV/atom. Number 3: energy -2.95 eV/atom. Number 4: energy -2.55 eV/atom. Number 5: energy -2.22 eV/atom. Number 6: energy -2.29 eV/atom.